Record 1
## TbInNi17 (PBE-GGA)

Data for a relaxed TbInNi17 crystal.

Computed properties:
**Energy**: -5.63 eV per atom

a b c (Å): 8.2398 8.2398 12.0451
angles (deg): 90.00 90.00 120.00
Last column: nearest neighbours and their distance in Å.
Space group R3m (No. 160, hexagonal axes)
One atom of each set of equivalent atoms:
Tb: 0.0000 0.0000 0.0000 [3 per cell]  19 Ni 2.93-3.12
In: 0.0000 0.0000 0.3157 [3 per cell]  16 Ni 2.87-3.19
Ni: 0.0000 0.0000 0.5568 [3 per cell]  7 Ni 2.40-2.55
Ni: 0.0000 0.0000 0.7564 [3 per cell]  13 Ni 2.40-2.69
Ni: 0.0391 0.3711 0.3270 [18 per cell]  8 Ni 2.36-2.52
Ni: 0.1710 0.3420 0.4950 [9 per cell]  10 Ni 2.36-2.55
Ni: 0.1713 0.3426 0.1450 [9 per cell]  9 Ni 2.39-2.51
Ni: 0.1719 0.3437 0.8404 [9 per cell]  9 Ni 2.39-2.65

***

Record 2
## TbTiRh (PBE-GGA)

Data for a relaxed TbTiRh crystal.

Computed properties:
**Energy**: -7.03 eV per atom

a b c (Å): 3.2845 3.2845 11.1414
angles (deg): 90.00 90.00 90.00
Last column: nearest neighbours and their distance in Å.
Space group I4mm (No. 107)
One atom of each set of equivalent atoms:
Tb: 0.0000 0.0000 0.0000 [2 per cell]  4 Rh 3.11, 5 Ti 3.23-3.30, 4 Tb 3.28
Ti: 0.0000 0.0000 0.7101 [2 per cell]  4 Rh 2.60
Rh: 0.0000 0.0000 0.3150 [2 per cell]  4 Ti 2.60

***

Record 3
## In3MoRu (PBE-GGA)

Data for a relaxed In3MoRu crystal.

Computed properties:
**Energy**: -4.33 eV per atom
**Energy above the most stable polymorph in this dataset**: 211.2 kJ/mol of formula units

a b c (Å): 5.1786 5.1786 5.1786
angles (deg): 90.00 90.00 90.00
Last column: nearest neighbours and their distance in Å.
Space group Pm-3m (No. 221)
One atom of each set of equivalent atoms:
In: 0.0000 0.0000 0.5000 [3 per cell]  2 Mo 2.59
Mo: 0.0000 0.0000 0.0000 [1 per cell]  6 In 2.59
Ru: 0.5000 0.5000 0.5000 [1 per cell]  12 In 3.66

***

Record 4
## LiBe4Pt5 (PBE-GGA)

Data for a relaxed LiBe4Pt5 crystal.

Computed properties:
**Energy**: -5.46 eV per atom

a b c (Å): 2.8535 2.8535 14.4099
angles (deg): 90.00 90.00 90.00
Last column: nearest neighbours and their distance in Å.
Space group P4/mmm (No. 123)
One atom of each set of equivalent atoms:
Li: 0.0000 0.0000 0.0000 [1 per cell]  8 Pt 2.55, 2 Be 2.84, 4 Li 2.85
Be: 0.0000 0.0000 0.1969 [2 per cell]  8 Pt 2.39-2.54
Be: 0.0000 0.0000 0.3998 [2 per cell]  8 Pt 2.45-2.48
Pt: 0.5000 0.5000 0.1081 [2 per cell]  4 Be 2.39, 4 Li 2.55
Pt: 0.5000 0.5000 0.3037 [2 per cell]  8 Be 2.45-2.54
Pt: 0.5000 0.5000 0.5000 [1 per cell]  8 Be 2.48

***

Record 5
## CaMg2P (PBE-GGA)

Data for a relaxed CaMg2P crystal.

Computed properties:
**Energy**: -2.83 eV per atom

a b c (Å): 4.4159 4.4159 9.0740
angles (deg): 90.00 90.00 90.00
Last column: nearest neighbours and their distance in Å.
Space group I-4m2 (No. 119)
One atom of each set of equivalent atoms:
Ca: 0.0000 0.0000 0.0000 [2 per cell]  8 Mg 3.12-3.17, 4 P 3.17
Mg: 0.0000 0.0000 0.5000 [2 per cell]  4 Ca 3.12, 4 Mg 3.17, 4 P 3.17
Mg: 0.0000 0.5000 0.7500 [2 per cell]  4 P 3.12, 4 Ca 3.17, 4 Mg 3.17
P: 0.0000 0.5000 0.2500 [2 per cell]  8 Mg 3.12-3.17, 4 Ca 3.17

***

Record 6
## AlTcP (PBE-GGA)

Data for a relaxed AlTcP crystal.

Computed properties:
**Energy**: -6.91 eV per atom
**Energy above the most stable polymorph in this dataset**: 32.1 kJ/mol of formula units

a b c (Å): 3.0946 3.0946 8.8560
angles (deg): 90.00 90.00 90.00
Last column: nearest neighbours and their distance in Å.
Space group I4mm (No. 107)
One atom of each set of equivalent atoms:
Al: 0.0000 0.0000 0.0000 [2 per cell]  5 Tc 2.74-2.76, 5 P 2.74-2.77
Tc: 0.0000 0.0000 0.6903 [2 per cell]  4 P 2.44
P: 0.0000 0.0000 0.3129 [2 per cell]  4 Tc 2.44

***

Record 7
## Rb3CePr3S8 (PBE-GGA)

Data for a relaxed Rb3CePr3S8 crystal.

Computed properties:
**Energy**: -5.56 eV per atom

a b c (Å): 8.4273 8.4273 23.4234
angles (deg): 90.00 90.00 120.00
Last column: nearest neighbours and their distance in Å.
Space group R-3m (No. 166, hexagonal axes)
One atom of each set of equivalent atoms:
Rb: 0.0000 0.5000 0.0000 [9 per cell]  6 S 3.39-3.41
Ce: 0.0000 0.0000 0.5000 [3 per cell]  6 S 2.76
Pr: 0.0000 0.5000 0.5000 [9 per cell]  6 S 2.88-2.89
S: 0.0000 0.0000 0.2325 [6 per cell]  3 Pr 2.88
S: 0.0133 0.5066 0.2295 [18 per cell]  1 Ce 2.76, 2 Pr 2.89

***

Record 8
## ThMgHg4 (PBE-GGA)

Data for a relaxed ThMgHg4 crystal.

Computed properties:
**Energy**: -1.87 eV per atom
**Energy above the most stable polymorph in this dataset**: 0.0 kJ/mol of formula units

a b c (Å): 10.0976 4.0152 7.6988
angles (deg): 90.00 108.82 90.00
Last column: nearest neighbours and their distance in Å.
Space group C2/m (No. 12)
One atom of each set of equivalent atoms:
Th: 0.0000 0.0000 0.0000 [2 per cell]  10 Hg 3.25-3.34
Mg: 0.0000 0.0000 0.5000 [2 per cell]  10 Hg 3.09-3.17
Hg: 0.1620 0.5000 0.8042 [4 per cell]  3 Hg 3.11-3.16, 2 Mg 3.12, 3 Th 3.25-3.26
Hg: 0.1682 0.5000 0.3489 [4 per cell]  3 Mg 3.09-3.17, 5 Hg 3.11-3.16, 2 Th 3.34

***

Record 9
## MnCd2Re (PBE-GGA)

Data for a relaxed MnCd2Re crystal.

Computed properties:
**Energy**: -5.32 eV per atom
**Energy above the most stable polymorph in this dataset**: 117.8 kJ/mol of formula units

a b c (Å): 2.7536 4.4162 5.6474
angles (deg): 90.00 90.31 90.00
Last column: nearest neighbours and their distance in Å.
Space group P2/m (No. 10)
One atom of each set of equivalent atoms:
Mn: 0.0000 0.0000 0.0000 [1 per cell]  2 Mn 2.75, 2 Re 2.82, 8 Cd 2.96
Cd: 0.5002 0.5000 0.2501 [2 per cell]  4 Cd 2.75-2.82, 4 Re 2.96, 4 Mn 2.96
Re: 0.0000 0.0000 0.5000 [1 per cell]  2 Re 2.75, 2 Mn 2.82, 8 Cd 2.96

***

Record 10
## PaCo2Ge (PBE-GGA)

Data for a relaxed PaCo2Ge crystal.

Computed properties:
**Energy**: -7.60 eV per atom
**Energy above the most stable polymorph in this dataset**: 0.0 kJ/mol of formula units

a b c (Å): 4.1423 4.1423 8.3906
angles (deg): 90.00 90.00 120.00
Last column: nearest neighbours and their distance in Å.
Space group P6_3/mmc (No. 194)
One atom of each set of equivalent atoms:
Pa: 0.3333 0.6667 0.2500 [2 per cell]  8 Co 2.75-2.79
Co: 0.3333 0.6667 0.5783 [4 per cell]  3 Ge 2.48, 3 Co 2.73, 1 Pa 2.75
Ge: 0.0000 0.0000 0.0000 [2 per cell]  6 Co 2.48

***

Record 11
## RbPt2S (PBE-GGA)

Data for a relaxed RbPt2S crystal.

Computed properties:
**Energy**: -4.79 eV per atom

a b c (Å): 5.4886 5.4886 14.5863
angles (deg): 90.00 90.00 90.00
Last column: nearest neighbours and their distance in Å.
Space group I4_1/amd (No. 141, origin choice 2)
One atom of each set of equivalent atoms:
Rb: 0.0000 0.2500 0.3750 [4 per cell]  8 Pt 3.57, 4 S 3.88
Pt: 0.0000 0.0000 0.0000 [8 per cell]  2 S 2.28
S: 0.0000 0.2500 0.8750 [4 per cell]  4 Pt 2.28

***

Record 12
## LaAl3O (PBE-GGA)

Data for a relaxed LaAl3O crystal.

Computed properties:
**Energy**: -4.73 eV per atom
**Energy above the most stable polymorph in this dataset**: 0.0 kJ/mol of formula units

a b c (Å): 4.5556 4.5556 4.5556
angles (deg): 90.00 90.00 90.00
Last column: nearest neighbours and their distance in Å.
Space group Pm-3m (No. 221)
One atom of each set of equivalent atoms:
La: 0.0000 0.0000 0.0000 [1 per cell]  12 Al 3.22
Al: 0.0000 0.5000 0.5000 [3 per cell]  2 O 2.28
O: 0.5000 0.5000 0.5000 [1 per cell]  6 Al 2.28

***

What did the sixth record say?
## AlTcP (PBE-GGA)

Data for a relaxed AlTcP crystal.

Computed properties:
**Energy**: -6.91 eV per atom
**Energy above the most stable polymorph in this dataset**: 32.1 kJ/mol of formula units

a b c (Å): 3.0946 3.0946 8.8560
angles (deg): 90.00 90.00 90.00
Last column: nearest neighbours and their distance in Å.
Space group I4mm (No. 107)
One atom of each set of equivalent atoms:
Al: 0.0000 0.0000 0.0000 [2 per cell]  5 Tc 2.74-2.76, 5 P 2.74-2.77
Tc: 0.0000 0.0000 0.6903 [2 per cell]  4 P 2.44
P: 0.0000 0.0000 0.3129 [2 per cell]  4 Tc 2.44

***

Question: Which of these has the highest energy?
Answer: ThMgHg4